Entry 1:
CsNpAsO6: relaxed, PBE-GGA.

Output
Magnetization, Bohr magnetons per cell: 1.00

a b c (Å): 5.3239 5.3239 6.8445
angles (deg): 90.00 90.00 120.00
Fractional coordinates of all 9 atoms:
Cs 0.0000 0.0000 0.0000
Np 0.3333 0.6667 0.5000
As 0.6667 0.3333 0.5000
O 0.3909 0.0308 0.6571
O 0.3909 0.3601 0.3429
O 0.6399 0.0308 0.3429
O 0.6399 0.6091 0.6571
O 0.9692 0.3601 0.6571
O 0.9692 0.6091 0.3429



Entry 2:
Cs3NpPa2As6: relaxed, PBE-GGA.

Output
Magnetization, Bohr magnetons per cell: 1.99

a b c (Å): 7.4765 7.4765 8.7059
angles (deg): 98.23 98.23 120.00
Fractional coordinates of all 12 atoms:
Cs 0.0000 0.0000 0.0000
Cs 0.3331 0.6669 0.0000
Cs 0.6669 0.3331 0.0000
Np 0.5000 0.5000 0.5000
Pa 0.1666 0.8334 0.5000
Pa 0.8334 0.1666 0.5000
As 0.1122 0.4439 0.3316
As 0.2245 0.2245 0.6687
As 0.4439 0.1122 0.3316
As 0.5561 0.8878 0.6684
As 0.7755 0.7755 0.3313
As 0.8878 0.5561 0.6684



Entry 3:
Cs2NpAs2S6: relaxed, PBE-GGA.

Output
Magnetization, Bohr magnetons per cell: 0.96

a b c (Å): 8.6007 8.6007 7.1962
angles (deg): 110.46 110.46 48.07
Fractional coordinates of all 11 atoms:
Cs 0.2460 0.2460 0.2209
Cs 0.7540 0.7540 0.7791
Np 0.5000 0.5000 0.0000
As 0.0297 0.0297 0.3579
As 0.9703 0.9703 0.6421
S 0.1767 0.6962 0.1864
S 0.3038 0.8233 0.8136
S 0.3446 0.3446 0.7560
S 0.6554 0.6554 0.2440
S 0.6962 0.1767 0.1864
S 0.8233 0.3038 0.8136



Entry 4:
Cs3NpU2As6: relaxed, PBE-GGA.

Output
Magnetization, Bohr magnetons per cell: 4.01

a b c (Å): 7.4196 7.4196 8.6905
angles (deg): 98.18 98.18 119.99
Fractional coordinates of all 12 atoms:
Cs 0.0000 0.0000 0.0000
Cs 0.3356 0.6644 0.0000
Cs 0.6644 0.3356 0.0000
Np 0.5000 0.5000 0.5000
U 0.1668 0.8332 0.5000
U 0.8332 0.1668 0.5000
As 0.1009 0.4442 0.3328
As 0.2122 0.2122 0.6664
As 0.4442 0.1009 0.3328
As 0.5558 0.8991 0.6672
As 0.7878 0.7878 0.3336
As 0.8991 0.5558 0.6672



Entry 5:
Cs2NpZn2As4: relaxed, PBE-GGA.

Output
Magnetization, Bohr magnetons per cell: 1.28

a b c (Å): 7.9240 7.9240 8.4483
angles (deg): 106.02 106.02 31.33
Fractional coordinates of all 9 atoms:
Cs 0.1383 0.1383 0.0706
Cs 0.8617 0.8617 0.9294
Np 0.0000 0.0000 0.5000
Zn 0.3332 0.3332 0.5247
Zn 0.6668 0.6668 0.4753
As 0.1913 0.1913 0.6425
As 0.4944 0.4944 0.7128
As 0.5056 0.5056 0.2872
As 0.8087 0.8087 0.3575



Entry 6:
CsAsO: relaxed, PBE-GGA.

Output
Magnetization, Bohr magnetons per cell: 0.00

a b c (Å): 4.3123 5.0626 7.8180
angles (deg): 90.02 90.13 90.01
Fractional coordinates of all 6 atoms:
Cs 0.0000 0.0000 0.0000
Cs 0.0023 0.5003 0.6207
As 0.5012 0.0005 0.3586
As 0.5009 0.5017 0.2617
O 0.5003 0.5022 0.0358
O 0.5018 0.0006 0.5846



Entry 7:
CsAsO3: relaxed, PBE-GGA.

Output
Magnetization, Bohr magnetons per cell: 0.00

a b c (Å): 5.0377 5.0377 10.2836
angles (deg): 90.00 90.00 120.00
Fractional coordinates of all 10 atoms:
Cs 0.0000 0.0000 0.2145
Cs 0.0000 0.0000 0.7855
As 0.3333 0.6667 0.5000
As 0.6667 0.3333 0.5000
O 0.0000 0.3958 0.6046
O 0.0000 0.6042 0.3954
O 0.3958 0.0000 0.6046
O 0.3958 0.3958 0.3954
O 0.6042 0.0000 0.3954
O 0.6042 0.6042 0.6046



Entry 8:
CsAsO3: relaxed, PBE-GGA.

Output
Magnetization, Bohr magnetons per cell: 0.00

a b c (Å): 3.2309 7.8469 7.8413
angles (deg): 90.00 90.99 90.00
Fractional coordinates of all 10 atoms:
Cs 0.0067 0.2500 0.1408
Cs 0.9933 0.7500 0.8592
As 0.4850 0.2500 0.6870
As 0.5150 0.7500 0.3130
O 0.0203 0.7500 0.4435
O 0.4900 0.0681 0.7979
O 0.4900 0.4319 0.7979
O 0.5100 0.5681 0.2021
O 0.5100 0.9319 0.2021
O 0.9797 0.2500 0.5565



Entry 9:
Cs12AsO4: relaxed, PBE-GGA.

Output
Magnetization, Bohr magnetons per cell: 0.01

a b c (Å): 9.9907 9.9907 9.9907
angles (deg): 109.70 109.37 109.34
Fractional coordinates of all 17 atoms:
Cs 0.0328 0.2196 0.8132
Cs 0.2218 0.3122 0.5341
Cs 0.2218 0.6878 0.9096
Cs 0.3118 0.0311 0.7193
Cs 0.3118 0.5925 0.2807
Cs 0.4065 0.2196 0.1868
Cs 0.5935 0.7804 0.8132
Cs 0.6882 0.4075 0.7193
Cs 0.6882 0.9689 0.2807
Cs 0.7782 0.3122 0.0904
Cs 0.7782 0.6878 0.4659
Cs 0.9672 0.7804 0.1868
As 0.5000 0.5000 0.0000
O 0.0000 0.0000 0.5000
O 0.0000 0.5000 0.0000
O 0.5000 0.0000 0.0000
O 0.5000 0.5000 0.5000



Entry 10:
Cs2AsO: relaxed, PBE-GGA.

Output
ΔE to the lowest computed polymorph, meV per atom: 597
Magnetization, Bohr magnetons per cell: 3.00

a b c (Å): 5.7025 5.7025 5.7025
angles (deg): 60.00 60.00 60.00
Fractional coordinates of all 4 atoms:
Cs 0.2500 0.2500 0.2500
Cs 0.7500 0.7500 0.7500
As 0.0000 0.0000 0.0000
O 0.5000 0.5000 0.5000



Entry 11:
Cs2AsO: relaxed, PBE-GGA.

Output
ΔE to the lowest computed polymorph, meV per atom: 0
Magnetization, Bohr magnetons per cell: 0.00

a b c (Å): 8.9409 8.9409 8.9409
angles (deg): 93.11 93.11 153.07
Fractional coordinates of all 8 atoms:
Cs 0.3750 0.1753 0.3003
Cs 0.8247 0.1250 0.1997
Cs 0.8750 0.0747 0.6997
Cs 0.9253 0.6250 0.8003
As 0.2500 0.7500 0.5000
As 0.5000 0.5000 0.0000
O 0.0000 0.0000 0.0000
O 0.7500 0.2500 0.5000



Entry 12:
CsAsO3: relaxed, PBE-GGA.

Output
Magnetization, Bohr magnetons per cell: 0.00

a b c (Å): 4.8753 6.6797 14.1576
angles (deg): 90.00 90.00 90.00
Fractional coordinates of all 20 atoms:
Cs 0.2248 0.2500 0.0942
Cs 0.2752 0.7500 0.5942
Cs 0.7248 0.2500 0.4058
Cs 0.7752 0.7500 0.9058
As 0.1760 0.7500 0.3256
As 0.3240 0.2500 0.8256
As 0.6760 0.7500 0.1744
As 0.8240 0.2500 0.6744
O 0.1857 0.2500 0.7072
O 0.2334 0.5333 0.3813
O 0.2334 0.9667 0.3813
O 0.2666 0.0333 0.8813
O 0.2666 0.4667 0.8813
O 0.3143 0.7500 0.2072
O 0.6857 0.2500 0.7928
O 0.7334 0.5333 0.1187
O 0.7334 0.9667 0.1187
O 0.7666 0.0333 0.6187
O 0.7666 0.4667 0.6187
O 0.8143 0.7500 0.2928



Number 1: final energy -7.284 eV/atom. Number 2: final energy -5.862 eV/atom. Number 3: final energy -5.191 eV/atom. Number 4: final energy -6.007 eV/atom. Number 5: final energy -4.397 eV/atom. Number 6: final energy -4.437 eV/atom. Number 7: final energy -5.459 eV/atom. Number 8: final energy -5.372 eV/atom. Number 9: final energy -2.735 eV/atom. Number 10: final energy -2.819 eV/atom. Number 11: final energy -3.417 eV/atom. Number 12: final energy -5.601 eV/atom.